Computed, not measured: MnHNO2 after structural relaxation at the PBE+U level of DFT.

The uncorrected energy is -4.75 eV per atom. The calculation puts the mass density at 3.50 Mg/m³.

It has space group P4/mmm (No. 123), with a = 3.663 Å, b = 3.663 Å, c = 3.605 Å, α = 90.00°, β = 90.00° and γ = 90.00°. The asymmetric unit holds Mn at (0.000, 0.000, 0.000), H at (0.500, 0.500, 0.500), N at (0.000, 0.000, 0.500) and O at (0.000, 0.500, 0.000).